{
  "formula": "CdSnRh",
  "functional": "PBE",
  "state": "optimized geometry",
  "lattice_angstrom": [[7.635, 0.000, -0.015], [0.000, 3.485, 0.000], [-4.377, 0.000, 9.004]],
  "species": ["Rh", "Cd", "Sn", "Cd", "Rh", "Sn", "Sn", "Rh", "Rh", "Cd", "Sn", "Cd"],
  "fractional_positions": [[0.236, 0.500, 0.267], [0.983, 0.500, 0.543], [0.304, 0.000, 0.504], [0.983, 0.000, 0.043], [0.600, 0.000, 0.042], [0.854, 0.500, 0.230], [0.854, 0.000, 0.730], [0.236, 0.000, 0.767], [0.600, 0.500, 0.542], [0.559, 0.500, 0.809], [0.304, 0.500, 0.004], [0.559, 0.000, 0.309]]
}

---

{
  "formula": "CdSn2Rh2",
  "functional": "PBE",
  "state": "optimized geometry",
  "lattice_angstrom": [[-3.780, -1.772, 0.156], [0.301, -0.999, -4.046], [0.759, -6.584, -0.474]],
  "species": ["Sn", "Rh", "Rh", "Cd", "Sn"],
  "fractional_positions": [[0.250, 0.750, 0.500], [0.610, 0.610, 0.781], [0.390, 0.390, 0.219], [0.000, 0.000, 0.000], [0.750, 0.250, 0.500]]
}

---

{
  "formula": "CdSn5Rh3",
  "functional": "PBE",
  "state": "optimized geometry",
  "lattice_angstrom": [[-4.550, -4.588, -3.615], [4.324, -3.099, -5.149], [1.848, -9.631, 1.342]],
  "species": ["Rh", "Sn", "Rh", "Rh", "Rh", "Sn", "Sn", "Sn", "Sn", "Sn", "Sn", "Sn", "Rh", "Sn", "Cd", "Sn", "Cd", "Rh"],
  "fractional_positions": [[0.329, 0.329, 0.165], [0.716, 0.284, 0.000], [0.671, 0.671, 0.835], [0.352, 0.352, 0.663], [0.000, 0.000, 0.500], [0.941, 0.372, 0.331], [0.235, 0.235, 0.976], [0.765, 0.765, 0.024], [0.372, 0.941, 0.331], [0.284, 0.716, 0.000], [0.585, 0.585, 0.639], [0.059, 0.628, 0.669], [0.000, 0.000, 0.000], [0.628, 0.059, 0.669], [0.894, 0.894, 0.318], [0.415, 0.415, 0.361], [0.106, 0.106, 0.682], [0.648, 0.648, 0.337]]
}

---

{
  "formula": "CdSnRh2",
  "functional": "PBE",
  "state": "optimized geometry",
  "e_above_lowest_polymorph_ev_per_atom": 0.211,
  "lattice_angstrom": [[-1.205, -1.426, 2.554], [1.699, -2.179, 1.540], [3.376, 4.718, 6.166]],
  "species": ["Cd", "Sn", "Rh", "Rh"],
  "fractional_positions": [[0.500, 0.500, 0.500], [0.667, 0.667, 0.000], [0.255, 0.255, 0.236], [0.078, 0.078, 0.764]]
}

---

{
  "formula": "CdSnRh2",
  "functional": "PBE",
  "state": "optimized geometry",
  "e_above_lowest_polymorph_ev_per_atom": 0.429,
  "lattice_angstrom": [[-0.384, -4.349, -5.722], [-1.862, -5.474, 4.285], [-3.960, -4.212, -1.059]],
  "species": ["Sn", "Sn", "Rh", "Rh", "Rh", "Rh", "Cd", "Cd"],
  "fractional_positions": [[0.750, 0.250, 0.500], [0.000, 0.000, 0.000], [0.875, 0.892, 0.750], [0.108, 0.625, 0.250], [0.375, 0.358, 0.750], [0.642, 0.125, 0.250], [0.250, 0.750, 0.500], [0.500, 0.500, 0.000]]
}

---

{
  "formula": "CdSnRh",
  "functional": "PBE",
  "state": "optimized geometry",
  "lattice_angstrom": [[0.369, -2.547, 2.324], [3.892, -3.081, -1.406], [2.653, 6.099, 3.673]],
  "species": ["Cd", "Rh", "Sn", "Rh", "Cd", "Sn"],
  "fractional_positions": [[0.342, 0.248, 0.932], [0.629, 0.421, 0.678], [0.898, 0.827, 0.624], [0.371, 0.579, 0.322], [0.658, 0.752, 0.068], [0.102, 0.173, 0.376]]
}

---

{
  "formula": "Cd3SnRh3",
  "functional": "PBE",
  "state": "optimized geometry",
  "lattice_angstrom": [[5.220, -0.025, -1.826], [-2.653, 4.587, -1.877], [0.014, -0.025, 5.530]],
  "species": ["Sn", "Cd", "Rh", "Cd", "Cd", "Rh", "Rh"],
  "fractional_positions": [[0.000, 0.503, 0.000], [0.500, 0.004, 0.000], [0.500, 0.503, 0.000], [0.000, 0.004, 0.500], [0.500, 0.504, 0.500], [0.000, 0.503, 0.500], [0.500, 0.003, 0.500]]
}

---

{
  "formula": "CdSnRh2",
  "functional": "PBE",
  "state": "optimized geometry",
  "e_above_lowest_polymorph_ev_per_atom": 0.000,
  "lattice_angstrom": [[3.166, -3.255, -0.481], [0.502, -3.191, 3.227], [-1.263, -4.308, -0.834]],
  "species": ["Rh", "Rh", "Cd", "Sn"],
  "fractional_positions": [[0.250, 0.250, 0.250], [0.750, 0.750, 0.750], [0.000, 0.000, 0.000], [0.500, 0.500, 0.500]]
}

---

{
  "formula": "Sr2CdSn2Rh5",
  "functional": "PBE",
  "state": "optimized geometry",
  "lattice_angstrom": [[3.587, 0.000, 0.000], [0.000, 10.669, 0.000], [0.000, 0.000, 10.669]],
  "species": ["Sr", "Rh", "Cd", "Rh", "Rh", "Rh", "Sn", "Rh", "Sn", "Cd", "Sr", "Rh", "Rh", "Rh", "Rh", "Sr", "Sn", "Sn", "Sr", "Rh"],
  "fractional_positions": [[0.000, 0.328, 0.828], [0.500, 0.701, 0.437], [0.000, 0.000, 0.000], [0.500, 0.201, 0.063], [0.500, 0.299, 0.563], [0.500, 0.063, 0.799], [0.000, 0.628, 0.872], [0.500, 0.000, 0.500], [0.000, 0.128, 0.628], [0.000, 0.500, 0.500], [0.000, 0.828, 0.672], [0.500, 0.437, 0.299], [0.500, 0.500, 0.000], [0.500, 0.937, 0.201], [0.500, 0.563, 0.701], [0.000, 0.172, 0.328], [0.000, 0.872, 0.372], [0.000, 0.372, 0.128], [0.000, 0.672, 0.172], [0.500, 0.799, 0.937]]
}

---

{
  "formula": "Sr2CdSnRh",
  "functional": "PBE",
  "state": "optimized geometry",
  "lattice_angstrom": [[-3.298, 3.813, -2.874], [2.350, -1.745, -5.011], [-3.632, -3.505, -0.483]],
  "species": ["Sn", "Cd", "Sr", "Rh", "Sr"],
  "fractional_positions": [[0.000, 0.000, 0.500], [0.500, 0.500, 0.500], [0.000, 0.500, 0.000], [0.000, 0.000, 0.000], [0.500, 0.000, 0.000]]
}

---

{
  "formula": "Sr2CdSn4Rh3",
  "functional": "PBE",
  "state": "optimized geometry",
  "lattice_angstrom": [[-4.378, 0.107, -1.444], [-0.617, -4.298, 1.552], [-3.183, 4.052, 9.954]],
  "species": ["Rh", "Rh", "Sr", "Sn", "Cd", "Sn", "Sn", "Sn", "Sr", "Rh"],
  "fractional_positions": [[0.500, 0.000, 0.877], [0.000, 0.500, 0.123], [0.500, 0.000, 0.245], [0.500, 0.000, 0.642], [0.500, 0.500, 0.500], [0.000, 0.500, 0.358], [0.500, 0.500, 0.000], [0.000, 0.000, 0.000], [0.000, 0.500, 0.755], [0.000, 0.000, 0.500]]
}

---

{
  "formula": "TbCdSnRh",
  "functional": "PBE",
  "state": "optimized geometry",
  "lattice_angstrom": [[-4.782, -1.002, 0.362], [-2.236, -2.577, -3.516], [-1.482, -4.584, 0.889]],
  "species": ["Sn", "Cd", "Tb", "Rh"],
  "fractional_positions": [[0.000, 0.000, 0.000], [0.750, 0.750, 0.750], [0.500, 0.500, 0.500], [0.250, 0.250, 0.250]]
}

---

{
  "formula": "Tl2CdSnRh",
  "functional": "PBE",
  "state": "optimized geometry",
  "lattice_angstrom": [[-3.980, -0.486, -3.485], [3.112, -2.942, -3.144], [-1.587, -4.248, 2.405]],
  "species": ["Sn", "Cd", "Tl", "Tl", "Rh"],
  "fractional_positions": [[0.000, 0.000, 0.500], [0.500, 0.500, 0.500], [0.000, 0.500, 0.000], [0.500, 0.000, 0.000], [0.000, 0.000, 0.000]]
}

---

{
  "formula": "TlCd2SnRh",
  "functional": "PBE",
  "state": "optimized geometry",
  "lattice_angstrom": [[-3.856, -0.698, -3.523], [-3.162, -1.791, 3.816], [-1.619, 4.663, 0.848]],
  "species": ["Sn", "Cd", "Tl", "Cd", "Rh"],
  "fractional_positions": [[0.000, 0.000, 0.500], [0.000, 0.500, 0.000], [0.500, 0.500, 0.500], [0.500, 0.000, 0.000], [0.000, 0.000, 0.000]]
}

---

{
  "formula": "TmCdSnRh",
  "functional": "PBE",
  "state": "optimized geometry",
  "lattice_angstrom": [[-3.547, 2.593, 2.071], [-0.253, 0.339, 4.838], [1.032, 4.207, 2.197]],
  "species": ["Sn", "Rh", "Tm", "Cd"],
  "fractional_positions": [[0.250, 0.250, 0.250], [0.500, 0.500, 0.500], [0.750, 0.750, 0.750], [0.000, 0.000, 0.000]]
}

---

{
  "formula": "YCdSn2Rh",
  "functional": "PBE",
  "state": "optimized geometry",
  "lattice_angstrom": [[5.075, 0.000, 0.000], [0.000, 5.116, 0.000], [0.000, 0.000, 5.075]],
  "species": ["Cd", "Rh", "Y", "Sn", "Sn"],
  "fractional_positions": [[0.000, 0.500, 0.000], [0.000, 0.000, 0.000], [0.500, 0.500, 0.500], [0.500, 0.000, 0.000], [0.000, 0.000, 0.500]]
}

---

{
  "formula": "SrCd2Rh",
  "functional": "PBE",
  "state": "optimized geometry",
  "lattice_angstrom": [[6.140, -0.036, -0.023], [4.388, 4.294, -0.023], [4.388, 1.775, 3.910]],
  "species": ["Rh", "Cd", "Sr", "Cd"],
  "fractional_positions": [[0.250, 0.250, 0.250], [0.957, 0.957, 0.957], [0.750, 0.750, 0.750], [0.543, 0.543, 0.543]]
}

---

{
  "formula": "SrCd2Rh",
  "functional": "PBE",
  "state": "optimized geometry",
  "lattice_angstrom": [[5.345, 0.029, 0.000], [-2.124, 4.905, 0.000], [0.000, 0.000, 3.482]],
  "species": ["Cd", "Rh", "Sr", "Cd"],
  "fractional_positions": [[0.000, 0.000, 0.000], [0.500, 0.000, 0.500], [0.000, 0.500, 0.500], [0.500, 0.500, 0.000]]
}

---

{
  "formula": "Sr2Cd2Rh",
  "functional": "PBE",
  "state": "optimized geometry",
  "e_above_lowest_polymorph_ev_per_atom": 0.224,
  "lattice_angstrom": [[-7.292, 1.464, -0.458], [-1.288, -7.051, -2.038], [-0.572, -1.314, 4.906]],
  "species": ["Cd", "Cd", "Sr", "Sr", "Rh", "Sr", "Cd", "Cd", "Sr", "Rh"],
  "fractional_positions": [[0.639, 0.139, 0.000], [0.361, 0.861, 0.000], [0.682, 0.818, 0.500], [0.818, 0.318, 0.500], [0.000, 0.000, 0.000], [0.318, 0.182, 0.500], [0.139, 0.361, 0.000], [0.861, 0.639, 0.000], [0.182, 0.682, 0.500], [0.500, 0.500, 0.000]]
}

---

{
  "formula": "Sr3Cd4Rh2",
  "functional": "PBE",
  "state": "optimized geometry",
  "lattice_angstrom": [[-4.158, -1.921, -2.052], [1.027, -4.178, -4.308], [-0.641, -8.819, 3.418]],
  "species": ["Cd", "Sr", "Sr", "Cd", "Sr", "Rh", "Cd", "Rh", "Cd"],
  "fractional_positions": [[0.098, 0.214, 0.591], [0.635, 0.412, 0.318], [0.365, 0.588, 0.682], [0.714, 0.649, 0.923], [0.000, 0.000, 0.000], [0.671, 0.009, 0.650], [0.286, 0.351, 0.077], [0.329, 0.991, 0.350], [0.902, 0.786, 0.409]]
}

---

Calculated energy of formation from the pure elements, -0.232 -0.106 -0.234 -0.137 0.080 -0.254 -0.239 -0.349 -0.310 -0.356 -0.521 -0.436 0.042 -0.046 -0.425 -0.129 -0.199 0.079 -0.111 -0.273 eV/atom (same order as the records).